VASP calculation (GGA-PBE) on a relaxed Si2RuBr crystal.

The structure in POSCAR format:
```
Si2RuBr
1.0
-3.487 -0.212 2.040
-2.138 -3.047 1.585
2.892 0.300 6.700
Si Br Ru
2 1 1
Cartesian
2.734 0.257 6.498 Si
-1.164 -0.828 1.706 Si
-1.024 -1.414 5.768 Br
-1.753 -2.153 8.215 Ru
```

## Properties
ΔE to the lowest computed polymorph = 115 meV per atom
M_tot = 0.000 μB per formula unit
V = 21.4 Å³/atom
symmetry = Cm
E = -21.2 eV per cell